(1)
Compound: Cr2AsH
Source: the Alexandria database
Functional: PBE
Structure: relaxed

As for the density of states at the Fermi level: 0.8248 states/eV/atom. The value obtained for the calculated density is 5.2 g/cm3. For the energy above the most stable polymorph in this dataset, the calculation gives 0.0125 eV/atom.

The space group is R-3m (No. 166, hexagonal axes) and the conventional cell measures 4.1289, 4.1289 and 11.6348 Å, with angles of 90.00, 90.00 and 120.00 degrees. The distinct sites, in fractional coordinates, are Cr at (0.0000, 0.0000, 0.1426), As at (0.0000, 0.0000, 0.5000) and H at (0.0000, 0.0000, 0.0000).

(2)
Compound: Cr2As4H
Source: the Alexandria database
Functional: PBE
Structure: relaxed

For the electronic total energy, the calculation gives -0.20386 Ha/atom. As for the density of states at the Fermi level: 0.5113 states/eV/atom. The value obtained for the calculated density is 6.3 g/cm3.

The space group is I4/mmm (No. 139) and the conventional cell measures 3.7355, 3.7355 and 15.3863 Å, with angles of 90.00, 90.00 and 90.00 degrees. The distinct sites, in fractional coordinates, are Cr at (0.0000, 0.0000, 0.1417), As at (0.0000, 0.0000, 0.3075), As at (0.0000, 0.5000, 0.0000) and H at (0.0000, 0.0000, 0.5000).

(3)
Compound: Cr2AsH
Source: the Alexandria database
Functional: PBE
Structure: relaxed

As for the density of states at the Fermi level: 0.8413 states/eV/atom. The value obtained for the calculated density is 6.3 g/cm3. For the energy above the most stable polymorph in this dataset, the calculation gives 0.0000 eV/atom.

The space group is I-42d (No. 122) and the conventional cell measures 4.3623, 4.3623 and 9.9219 Å, with angles of 90.00, 90.00 and 90.00 degrees. The distinct sites, in fractional coordinates, are Cr at (0.0466, 0.2500, 0.1250), As at (0.0000, 0.0000, 0.5000) and H at (0.0000, 0.0000, 0.0000).

(4)
Compound: Cr2AsH
Source: the Alexandria database
Functional: PBE
Structure: relaxed

As for the density of states at the Fermi level: 0.8146 states/eV/atom. The value obtained for the calculated density is 6.3 g/cm3. For the energy above the most stable polymorph in this dataset, the calculation gives 0.0252 eV/atom.

The space group is Fm-3m (No. 225) and the conventional cell measures 5.7510, 5.7510 and 5.7510 Å, with angles of 90.00, 90.00 and 90.00 degrees. The distinct sites, in fractional coordinates, are Cr at (0.2500, 0.2500, 0.2500), As at (0.0000, 0.0000, 0.0000) and H at (0.0000, 0.0000, 0.5000).

(5)
Compound: Cr3AsH
Source: the Alexandria database
Functional: PBE
Structure: relaxed

As for the density of states at the Fermi level: 0.1842 states/eV/atom. The value obtained for the calculated density is 3.2 g/cm3. For the energy above the most stable polymorph in this dataset, the calculation gives 1.1655 eV/atom.

The space group is Pm-3m (No. 221) and the conventional cell measures 4.9281, 4.9281 and 4.9281 Å, with angles of 90.00, 90.00 and 90.00 degrees. The distinct sites, in fractional coordinates, are Cr at (0.0000, 0.0000, 0.5000), As at (0.0000, 0.0000, 0.0000) and H at (0.5000, 0.5000, 0.5000).

(6)
Compound: HfCr2AsH
Source: the Alexandria database
Functional: PBE
Structure: relaxed

For the electronic total energy, the calculation gives -0.27077 Ha/atom. As for the density of states at the Fermi level: 0.8412 states/eV/atom. The value obtained for the calculated density is 9.4 g/cm3.

The space group is P4/mmm (No. 123) and the conventional cell measures 3.6937, 3.6937 and 4.6339 Å, with angles of 90.00, 90.00 and 90.00 degrees. The distinct sites, in fractional coordinates, are Hf at (0.0000, 0.0000, 0.0000), Cr at (0.0000, 0.5000, 0.5000), As at (0.5000, 0.5000, 0.0000) and H at (0.5000, 0.5000, 0.5000).

(7)
Compound: CrAsH2I
Source: the Alexandria database
Functional: PBE
Structure: relaxed

For the electronic total energy, the calculation gives -0.14304 Ha/atom. As for the density of states at the Fermi level: 0.3380 states/eV/atom. The value obtained for the calculated density is 5.0 g/cm3.

The space group is P4/mmm (No. 123) and the conventional cell measures 3.7720, 3.7720 and 6.0052 Å, with angles of 90.00, 90.00 and 90.00 degrees. The distinct sites, in fractional coordinates, are Cr at (0.0000, 0.0000, 0.0000), As at (0.5000, 0.5000, 0.0000), H at (0.0000, 0.5000, 0.5000) and I at (0.0000, 0.0000, 0.5000).

(8)
Compound: LiCrAsH2
Source: the Alexandria database
Functional: PBE
Structure: relaxed

For the electronic total energy, the calculation gives -0.15441 Ha/atom. As for the density of states at the Fermi level: 0.2729 states/eV/atom. The value obtained for the calculated density is 3.4 g/cm3.

The space group is P4/mmm (No. 123) and the conventional cell measures 3.4434, 3.4434 and 5.5653 Å, with angles of 90.00, 90.00 and 90.00 degrees. The distinct sites, in fractional coordinates, are Li at (0.0000, 0.0000, 0.0000), Cr at (0.0000, 0.0000, 0.5000), As at (0.5000, 0.5000, 0.0000) and H at (0.0000, 0.5000, 0.5000).

(9)
Compound: Li2Cr2As2H
Source: the Alexandria database
Functional: PBE
Structure: relaxed

For the electronic total energy, the calculation gives -0.20132 Ha/atom. As for the density of states at the Fermi level: 0.6712 states/eV/atom. The value obtained for the calculated density is 4.6 g/cm3.

The space group is I4/mmm (No. 139) and the conventional cell measures 3.8148, 3.8148 and 13.2291 Å, with angles of 90.00, 90.00 and 90.00 degrees. The distinct sites, in fractional coordinates, are Li at (0.0000, 0.0000, 0.1715), Cr at (0.0000, 0.5000, 0.0000), As at (0.0000, 0.0000, 0.3736) and H at (0.0000, 0.0000, 0.0000).

(10)
Compound: Mn2CrAsH
Source: the Alexandria database
Functional: PBE
Structure: relaxed

For the electronic total energy, the calculation gives -0.26615 Ha/atom. As for the density of states at the Fermi level: 0.3373 states/eV/atom. The value obtained for the calculated density is 7.6 g/cm3.

The space group is P4/mmm (No. 123) and the conventional cell measures 3.6827, 3.6827 and 3.8188 Å, with angles of 90.00, 90.00 and 90.00 degrees. The distinct sites, in fractional coordinates, are Mn at (0.0000, 0.5000, 0.0000), Cr at (0.0000, 0.0000, 0.5000), As at (0.5000, 0.5000, 0.5000) and H at (0.0000, 0.0000, 0.0000).

(11)
Compound: CrAsHN2
Source: the Alexandria database
Functional: PBE
Structure: relaxed

For the electronic total energy, the calculation gives -0.22164 Ha/atom. As for the density of states at the Fermi level: 0.4274 states/eV/atom. The value obtained for the calculated density is 4.0 g/cm3.

The space group is P4/mmm (No. 123) and the conventional cell measures 3.5587, 3.5587 and 5.0563 Å, with angles of 90.00, 90.00 and 90.00 degrees. The distinct sites, in fractional coordinates, are Cr at (0.0000, 0.0000, 0.0000), As at (0.0000, 0.0000, 0.5000), H at (0.5000, 0.5000, 0.5000) and N at (0.0000, 0.5000, 0.0000).

(12)
Compound: CrNiAsH2
Source: the Alexandria database
Functional: PBE
Structure: relaxed

For the electronic total energy, the calculation gives -0.18598 Ha/atom. As for the density of states at the Fermi level: 0.7077 states/eV/atom. The value obtained for the calculated density is 5.4 g/cm3.

The space group is P4/mmm (No. 123) and the conventional cell measures 3.3903, 3.3903 and 5.0663 Å, with angles of 90.00, 90.00 and 90.00 degrees. The distinct sites, in fractional coordinates, are Cr at (0.0000, 0.0000, 0.0000), Ni at (0.5000, 0.5000, 0.5000), As at (0.0000, 0.0000, 0.5000) and H at (0.0000, 0.5000, 0.0000).

> Among the records above, which one has the lowest calculated density?

Cr3AsH